Na4MnBi3O8 | the Alexandria database | GGA+U | optimized geometry; total magnetization = 4.0 Bohr magnetons per cell; total energy = -5.36 eV per atom
1.0
-4.4008 -3.6907 3.6950
5.1894 -3.9351 2.2501
0.2731 6.8887 0.8946
Na Mn Bi O
4 1 3 8
Direct
0.5000 0.0000 0.0000
0.5000 0.0000 0.5000
0.0000 0.0000 0.0000
0.0000 0.0000 0.5000
0.0000 0.5000 0.0000
0.5000 0.5000 0.0000
0.5000 0.5000 0.5000
0.0000 0.5000 0.5000
0.2022 0.6973 0.9845
0.2653 0.7538 0.5306
0.2591 0.2624 0.5181
0.7822 0.6973 0.9845
0.2178 0.3027 0.0155
0.7409 0.7376 0.4819
0.7347 0.2462 0.4694
0.7978 0.3027 0.0155